Here is crystalline Sm12Ho6In at its relaxed geometry from Alexandria. Energies are from PBE-GGA.

abc: 8.6586 8.6586 8.6586
angles: 97.63 97.63 97.63
Closest atoms and distances in Å follow each position.
Fractional coordinates of all 19 atoms:
Ho  0.8654  0.8640  0.5946  4 Sm 3.37-3.48, 2 Ho 3.52, 1 In 3.54
Ho  0.8640  0.5946  0.8654  4 Sm 3.37-3.48, 2 Ho 3.52, 1 In 3.54
Ho  0.1346  0.1360  0.4054  4 Sm 3.37-3.48, 2 Ho 3.52, 1 In 3.54
Ho  0.4054  0.1346  0.1360  4 Sm 3.37-3.48, 2 Ho 3.52, 1 In 3.54
Ho  0.5946  0.8654  0.8640  4 Sm 3.37-3.48, 2 Ho 3.52, 1 In 3.54
Ho  0.1360  0.4054  0.1346  4 Sm 3.37-3.48, 2 Ho 3.52, 1 In 3.54
Sm  0.4213  0.8281  0.4218  5 Sm 3.15-3.51
Sm  0.1719  0.5782  0.5787  5 Sm 3.15-3.51
Sm  0.7403  0.9989  0.2598  4 Ho 3.37-3.48, 1 In 3.38, 6 Sm 3.38-3.68
Sm  0.8281  0.4218  0.4213  5 Sm 3.15-3.51
Sm  0.4218  0.4213  0.8281  5 Sm 3.15-3.51
Sm  0.2597  0.0011  0.7402  4 Ho 3.37-3.48, 1 In 3.38, 6 Sm 3.38-3.68
Sm  0.7402  0.2597  0.0011  4 Ho 3.37-3.48, 1 In 3.38, 6 Sm 3.38-3.68
Sm  0.5787  0.1719  0.5782  5 Sm 3.15-3.51
Sm  0.2598  0.7403  0.9989  4 Ho 3.37-3.48, 1 In 3.38, 6 Sm 3.38-3.68
Sm  0.5782  0.5787  0.1719  5 Sm 3.15-3.51
Sm  0.9989  0.2598  0.7403  4 Ho 3.37-3.48, 1 In 3.38, 6 Sm 3.38-3.68
Sm  0.0011  0.7402  0.2597  4 Ho 3.37-3.48, 1 In 3.38, 6 Sm 3.38-3.68
In  0.0000  0.0000  0.0000  6 Sm 3.38, 6 Ho 3.54

Output
E above lowest polymorph: 0.020 eV per atom
calculated formation energy: 0.0873 eV/atom
magnetization: 0.0 μB per cell
calculated volume: 630.2 Å³ per cell

Here is crystalline SiHgSb2 at its relaxed geometry from Alexandria. Energies are from PBE-GGA.

abc: 6.5546 5.8102 3.2145
angles: 78.72 81.73 121.62
Closest atoms and distances in Å follow each position.
Fractional coordinates of all 4 atoms:
Sb  0.0000  0.0000  0.0000  2 Si 3.03, 2 Hg 3.03, 2 Sb 3.21
Sb  0.5000  0.0000  0.5000  2 Hg 3.03, 2 Si 3.03, 2 Sb 3.21
Hg  0.5000  0.5000  0.0000  4 Sb 3.03, 2 Hg 3.21
Si  0.0000  0.5000  0.5000  4 Sb 3.03, 2 Si 3.21

Output
formation energy without anion corrections: 0.43 eV/atom
magnetization: 0.0 μB per cell
calculated volume: 97.7 Å³ per cell

Here is crystalline Mg2ScZn at its relaxed geometry from Alexandria. Energies are from PBE-GGA.

abc: 5.4271 5.4271 5.2671
angles: 72.89 72.89 34.91
Closest atoms and distances in Å follow each position.
Fractional coordinates of all 4 atoms:
Mg  0.9796  0.9796  0.9830  2 Zn 2.84, 3 Mg 2.97-3.07, 4 Sc 3.11-3.13
Mg  0.7423  0.7423  0.7789  5 Mg 2.97-3.26, 4 Zn 3.05-3.16, 3 Sc 3.27
Zn  0.2600  0.2600  0.2807  6 Mg 2.84-3.16, 3 Sc 2.89-3.09
Sc  0.5181  0.5181  0.4574  3 Zn 2.89-3.09, 4 Mg 3.11-3.13

Output
calculated formation energy: -0.0384 eV/atom
magnetization: 0.0 μB per cell
calculated volume: 84.5 Å³ per cell

Here is crystalline LiSn2B2O6 at its relaxed geometry from Alexandria. Energies are from PBE-GGA.

abc: 5.1283 5.1283 6.1563
angles: 65.39 65.39 60.00
Closest atoms and distances in Å follow each position.
Fractional coordinates of all 11 atoms:
O  0.2651  0.7337  0.7361  1 B 1.39
O  0.2663  0.7349  0.2639  1 B 1.39
O  0.7337  0.2651  0.7361  1 B 1.39
O  0.2651  0.2651  0.7361  1 B 1.39
O  0.7349  0.2663  0.2639  1 B 1.39
O  0.7349  0.7349  0.2639  1 B 1.39
B  0.4207  0.4207  0.7380  3 O 1.39
B  0.5793  0.5793  0.2620  3 O 1.39
Sn  0.2096  0.2096  0.3712  9 O 2.52-2.63
Sn  0.7904  0.7904  0.6288  9 O 2.52-2.63
Li  0.0000  0.0000  0.0000  6 O 2.12

Output
formation energy without anion corrections: -1.70 eV/atom
magnetization: 0.0 μB per cell
calculated volume: 122.9 Å³ per cell

Here is crystalline BeCo2Sb at its relaxed geometry from Alexandria. Energies are from PBE-GGA.

abc: 3.0087 3.0087 5.5351
angles: 90.00 90.00 90.00
Closest atoms and distances in Å follow each position.
Fractional coordinates of all 4 atoms:
Be  0.5000  0.5000  0.7500  8 Co 2.46
Sb  0.5000  0.5000  0.2500  8 Co 2.62, 2 Be 2.77
Co  0.0000  0.0000  0.9724  4 Be 2.46, 1 Co 2.46, 4 Sb 2.62
Co  0.0000  0.0000  0.5276  4 Be 2.46, 1 Co 2.46, 4 Sb 2.62

Output
formation energy without anion corrections: 0.14 eV/atom
E above lowest polymorph: 0.160 eV per atom
magnetization: 1.3 μB per cell
calculated volume: 50.1 Å³ per cell

Here is crystalline ThNpPd6 at its relaxed geometry from Alexandria. Energies are from PBE-GGA.

abc: 4.1880 4.1880 8.3839
angles: 90.00 90.00 90.00
Closest atoms and distances in Å follow each position.
Fractional coordinates of all 8 atoms:
Pd  0.0000  0.5000  0.7506  8 Pd 2.96-2.97, 2 Th 2.96, 2 Np 2.97
Pd  0.5000  0.0000  0.7506  8 Pd 2.96-2.97, 2 Th 2.96, 2 Np 2.97
Pd  0.5000  0.5000  0.0000  8 Pd 2.96, 4 Th 2.96
Pd  0.0000  0.5000  0.2494  2 Th 2.96, 8 Pd 2.96-2.97, 2 Np 2.97
Pd  0.5000  0.5000  0.5000  4 Np 2.96, 8 Pd 2.97
Pd  0.5000  0.0000  0.2494  2 Th 2.96, 8 Pd 2.96-2.97, 2 Np 2.97
Np  0.0000  0.0000  0.5000  12 Pd 2.96-2.97
Th  0.0000  0.0000  0.0000  12 Pd 2.96

Output
calculated formation energy: -0.6939 eV/atom
magnetization: 3.9 μB per cell
calculated volume: 147.0 Å³ per cell

Here is crystalline Pr6GeIr2I3 at its relaxed geometry from Alexandria. Energies are from PBE-GGA.

abc: 7.4701 7.4701 8.4501
angles: 98.49 98.49 119.98
Closest atoms and distances in Å follow each position.
Fractional coordinates of all 12 atoms:
Pr  0.5901  0.9375  0.8105  2 Ir 2.87-2.88, 1 Ge 3.01
Pr  0.4099  0.0625  0.1895  2 Ir 2.87-2.88, 1 Ge 3.01
Pr  0.2847  0.2847  0.8113  2 Ir 2.88, 1 Ge 3.01
Pr  0.0625  0.4099  0.1895  2 Ir 2.87-2.88, 1 Ge 3.01
Pr  0.7153  0.7153  0.1887  2 Ir 2.88, 1 Ge 3.01
Pr  0.9375  0.5901  0.8105  2 Ir 2.87-2.88, 1 Ge 3.01
I  0.8375  0.1625  0.5000  6 Pr 3.49-3.57
I  0.5000  0.5000  0.5000  6 Pr 3.46-3.57
I  0.1625  0.8375  0.5000  6 Pr 3.49-3.57
Ir  0.6670  0.3330  0.0000  6 Pr 2.87-2.88
Ir  0.3330  0.6670  0.0000  6 Pr 2.87-2.88
Ge  0.0000  0.0000  0.0000  6 Pr 3.01

Output
formation energy without anion corrections: -0.94 eV/atom
magnetization: 0.0 μB per cell
calculated volume: 390.2 Å³ per cell

Here is crystalline LiNi2Pt at its relaxed geometry from Alexandria. Energies are from PBE-GGA.

abc: 2.6072 2.6072 8.6033
angles: 90.00 90.00 117.53
Closest atoms and distances in Å follow each position.
Fractional coordinates of all 4 atoms:
Pt  0.0000  0.0000  0.5014  2 Li 2.58, 6 Pt 2.61-2.70, 2 Ni 2.66
Ni  0.5000  0.5000  0.2350  6 Ni 2.39-2.61, 2 Pt 2.66
Ni  0.0000  0.0000  0.0063  6 Ni 2.39-2.61, 2 Li 2.53
Li  0.5000  0.5000  0.7573  2 Ni 2.53, 2 Pt 2.58, 6 Li 2.61-2.70

Output
calculated formation energy: -0.0386 eV/atom
magnetization: 1.2 μB per cell
calculated volume: 51.9 Å³ per cell

Here is crystalline LiMgGeBi at its relaxed geometry from Alexandria. Energies are from PBE-GGA.

abc: 5.0084 5.0084 5.0084
angles: 60.00 60.00 60.00
Closest atoms and distances in Å follow each position.
Fractional coordinates of all 4 atoms:
Mg  0.0000  0.0000  0.0000  4 Ge 3.07, 4 Bi 3.07
Bi  0.7500  0.7500  0.7500  4 Mg 3.07, 4 Li 3.07
Ge  0.2500  0.2500  0.2500  4 Li 3.07, 4 Mg 3.07
Li  0.5000  0.5000  0.5000  4 Ge 3.07, 4 Bi 3.07

Output
calculated formation energy: -0.1464 eV/atom
magnetization: 0.0 μB per cell
calculated volume: 88.8 Å³ per cell

Here is crystalline Tb4Y3TmSe8 at its relaxed geometry from Alexandria. Energies are from PBE-GGA.

abc: 8.1594 8.1724 8.1607
angles: 119.95 119.99 90.00
Closest atoms and distances in Å follow each position.
Fractional coordinates of all 16 atoms:
Tm  0.0000  0.5000  0.0000  6 Se 2.85-2.86
Y  0.5000  0.5000  0.0000  6 Se 2.88
Y  0.0000  0.5000  0.5000  6 Se 2.88
Y  0.5000  0.5000  0.5000  6 Se 2.88
Se  0.7529  0.2534  0.0005  1 Tm 2.85, 2 Y 2.88, 3 Tb 2.89-2.92
Se  0.7528  0.2533  0.5056  1 Tm 2.86, 2 Y 2.88, 3 Tb 2.89-2.92
Se  0.2471  0.7466  0.9995  1 Tm 2.85, 2 Y 2.88, 3 Tb 2.89-2.92
Se  0.2472  0.7467  0.4944  1 Tm 2.86, 2 Y 2.88, 3 Tb 2.89-2.92
Se  0.7497  0.7492  0.4995  3 Y 2.88, 3 Tb 2.89
Se  0.7523  0.7466  0.9995  1 Tm 2.85, 2 Y 2.88, 3 Tb 2.89-2.92
Se  0.2503  0.2508  0.5005  3 Y 2.88, 3 Tb 2.89
Se  0.2477  0.2534  0.0005  1 Tm 2.85, 2 Y 2.88, 3 Tb 2.89-2.92
Tb  0.5000  0.0000  0.5000  6 Se 2.89
Tb  0.5000  0.0000  0.0000  6 Se 2.92
Tb  0.0000  0.0000  0.5000  6 Se 2.89
Tb  0.0000  0.0000  0.0000  6 Se 2.89

Output
formation energy without anion corrections: -1.75 eV/atom
magnetization: 0.0 μB per cell
calculated volume: 385.1 Å³ per cell

Here is crystalline ZnGePtI2 at its relaxed geometry from Alexandria. Energies are from PBE-GGA.

abc: 5.4555 4.7565 5.4555
angles: 90.00 90.00 90.00
Closest atoms and distances in Å follow each position.
Fractional coordinates of all 5 atoms:
Pt  0.5000  0.5000  0.5000  8 I 3.62, 4 Ge 3.86
I  0.0000  0.0000  0.5000  2 Zn 2.73
I  0.5000  0.0000  0.0000  2 Zn 2.73
Ge  0.0000  0.5000  0.0000  2 Zn 2.38
Zn  0.0000  0.0000  0.0000  2 Ge 2.38

Output
formation energy without anion corrections: 0.88 eV/atom
magnetization: 0.0 μB per cell
calculated volume: 141.6 Å³ per cell

Here is crystalline FeMoPd2 at its relaxed geometry from Alexandria. Energies are from PBE-GGA.

abc: 4.3446 4.3446 4.3446
angles: 60.00 60.00 60.00
Closest atoms and distances in Å follow each position.
Fractional coordinates of all 4 atoms:
Pd  0.2500  0.2500  0.2500  4 Mo 2.66, 4 Fe 2.66
Pd  0.7500  0.7500  0.7500  4 Mo 2.66, 4 Fe 2.66
Mo  0.5000  0.5000  0.5000  8 Pd 2.66
Fe  0.0000  0.0000  0.0000  8 Pd 2.66

Output
E above lowest polymorph: 0.413 eV per atom
calculated formation energy: 0.4707 eV/atom
magnetization: 0.0 μB per cell
calculated volume: 58.0 Å³ per cell

no.,ρ (kg/m3)
1,7664
2,8027
3,3126
4,4889
5,8240
6,12507
7,7162
8,10228
9,5848
10,7343
11,6885
12,10441